Record 1
Ni2IrBr: optimized geometry, PBE-GGA.

Lattice parameters (Å, degrees): 7.9316 7.9316 7.9316 21.32 21.32 21.32
With the nearest neighbours (Å) after each atom.
Fractional positions:
Ir 0.7500 0.7500 0.7500  6 Ni 2.56
Br 0.2500 0.2500 0.2500  6 Ni 2.58
Ni 0.0006 0.0006 0.0006  3 Ir 2.56, 3 Br 2.58
Ni 0.4994 0.4994 0.4994  3 Ir 2.56, 3 Br 2.58

Properties
Its density of states at the Fermi level is 6.5 states/eV/cell. Its space group is R-3m. As for the final energy: -5.045 eV per atom. For the raw formation energy, the calculation gives 479 meV per atom. As for the distance to the lowest polymorph of the same formula: 0.113 eV/atom.

Record 2
BaLaWN3: optimized geometry, PBE-GGA.

Lattice parameters (Å, degrees): 4.0630 7.3047 7.6934 105.17 90.00 106.15
With the nearest neighbours (Å) after each atom.
Fractional positions:
La 0.3420 0.6840 0.4225  7 N 2.57-2.72
La 0.6580 0.3160 0.5775  7 N 2.57-2.72
Ba 0.3618 0.7236 0.9297  7 N 2.87-2.97
Ba 0.6382 0.2764 0.0703  7 N 2.87-2.97
N 0.5044 0.0088 0.2937  2 W 2.04
N 0.4956 0.9912 0.7063  2 W 2.04
N 0.1423 0.2845 0.7964  1 W 1.93
N 0.8475 0.6951 0.6435  1 W 2.08
N 0.1525 0.3049 0.3565  1 W 2.08
N 0.8577 0.7155 0.2036  1 W 1.93
W 0.9996 0.9993 0.3091  4 N 1.93-2.08
W 0.0004 0.0007 0.6909  4 N 1.93-2.08

Properties
Its density of states at the Fermi level is 2.6 states/eV/cell. Its space group is C2/m. As for the final energy: -8.338 eV per atom. For the raw formation energy, the calculation gives -875 meV per atom.

Record 3
BiIrS2Cl: optimized geometry, PBE-GGA.

Lattice parameters (Å, degrees): 5.2901 5.2901 5.1515 90.00 90.00 90.00
With the nearest neighbours (Å) after each atom.
Fractional positions:
Ir 0.5000 0.5000 0.5000  8 S 3.69, 4 Cl 3.74
Bi 0.0000 0.0000 0.0000  2 Cl 2.58, 4 S 2.65
Cl 0.0000 0.0000 0.5000  2 Bi 2.58
S 0.5000 0.0000 0.0000  2 Bi 2.65
S 0.0000 0.5000 0.0000  2 Bi 2.65

Properties
Its density of states at the Fermi level is 3.8 states/eV/cell. Its space group is P4/mmm. As for the final energy: -3.317 eV per atom. For the raw formation energy, the calculation gives 1252 meV per atom. As for the distance to the lowest polymorph of the same formula: 1.091 eV/atom.

Record 4
TcPbSe2: optimized geometry, PBE-GGA.

Lattice parameters (Å, degrees): 4.9353 4.9353 4.9353 60.00 60.00 60.00
With the nearest neighbours (Å) after each atom.
Fractional positions:
Pb 0.5000 0.5000 0.5000  4 Se 3.02, 4 Tc 3.02
Se 0.0000 0.0000 0.0000  4 Se 3.02, 4 Tc 3.02
Se 0.2500 0.2500 0.2500  4 Pb 3.02, 4 Se 3.02
Tc 0.7500 0.7500 0.7500  4 Pb 3.02, 4 Se 3.02

Properties
Its density of states at the Fermi level is 4.3 states/eV/cell. Its space group is F-43m. As for the final energy: -4.498 eV per atom. For the raw formation energy, the calculation gives 762 meV per atom. As for the distance to the lowest polymorph of the same formula: 0.922 eV/atom.

Record 5
LaGa2Sb: optimized geometry, PBE-GGA.

Lattice parameters (Å, degrees): 8.4104 8.4104 6.7824 51.68 51.68 90.00
With the nearest neighbours (Å) after each atom.
Fractional positions:
Sb 0.2500 0.7500 0.5000  4 Ga 2.91
Sb 0.5000 0.5000 0.0000  4 Ga 2.91
Ga 0.1568 0.6250 0.2500  2 Sb 2.91
Ga 0.5932 0.1250 0.2500  2 Sb 2.91
Ga 0.3750 0.4068 0.7500  2 Sb 2.91
Ga 0.8750 0.8432 0.7500  2 Sb 2.91
La 0.7500 0.2500 0.5000  2 Sb 3.26, 4 Ga 3.27
La 0.0000 0.0000 0.0000  2 Sb 3.26, 4 Ga 3.27

Properties
Its density of states at the Fermi level is 2.8 states/eV/cell. Its space group is I-42d. As for the final energy: -4.147 eV per atom. For the raw formation energy, the calculation gives -371 meV per atom.

Record 6
HoAlTc: optimized geometry, PBE-GGA.

Lattice parameters (Å, degrees): 5.4003 5.4003 5.4003 91.43 117.94 120.43
With the nearest neighbours (Å) after each atom.
Fractional positions:
Tc 0.0000 0.5000 0.5000  2 Tc 2.68, 4 Al 2.70
Tc 0.5000 0.0000 0.5000  2 Tc 2.68, 4 Al 2.70
Al 0.5000 0.5000 0.5000  4 Tc 2.70, 2 Al 2.78
Al 0.0000 0.5000 0.0000  4 Tc 2.70, 2 Al 2.78
Ho 0.7500 0.8841 0.1341  6 Tc 3.07-3.25, 6 Al 3.15-3.21, 4 Ho 3.29-3.36
Ho 0.2500 0.1159 0.8659  6 Tc 3.07-3.25, 6 Al 3.15-3.21, 4 Ho 3.29-3.36

Properties
Its density of states at the Fermi level is 3.4 states/eV/cell. Its space group is Imma. As for the final energy: -6.674 eV per atom. As for the distance to the lowest polymorph of the same formula: 0.000 eV/atom.